Entry 1:
Density functional theory data (PBE) for a geometry-optimized DyHo4Tm15 structure.

Cell lengths 4.936, 4.936, 24.676 Å; angles 90.00, 90.00, 90.00 degrees
Sites, in units of the cell vectors:
Dy: 0.000 0.000 0.000
Ho: 0.000 0.000 0.200
Ho: 0.000 0.000 0.400
Ho: 0.000 0.000 0.600
Ho: 0.000 0.000 0.800
Tm: 0.000 0.500 0.100
Tm: 0.000 0.500 0.300
Tm: 0.000 0.500 0.500
Tm: 0.000 0.500 0.700
Tm: 0.000 0.500 0.900
Tm: 0.500 0.000 0.100
Tm: 0.500 0.000 0.300
Tm: 0.500 0.000 0.500
Tm: 0.500 0.000 0.700
Tm: 0.500 0.000 0.900
Tm: 0.500 0.500 0.000
Tm: 0.500 0.500 0.200
Tm: 0.500 0.500 0.400
Tm: 0.500 0.500 0.600
Tm: 0.500 0.500 0.800

Computed properties:
Its raw total energy is -4.474 eV per atom.

=====

Entry 2:
Density functional theory data (PBE) for a geometry-optimized Dy2HoTm3 structure.

Cell lengths 9.277, 9.277, 6.062 Å; angles 90.07, 90.07, 44.40 degrees
Sites, in units of the cell vectors:
Dy: 0.041 0.292 0.417
Dy: 0.292 0.041 0.917
Dy: 0.708 0.959 0.083
Dy: 0.959 0.708 0.583
Ho: 0.375 0.625 0.750
Ho: 0.625 0.375 0.250
Tm: 0.125 0.875 0.250
Tm: 0.209 0.458 0.083
Tm: 0.458 0.209 0.583
Tm: 0.542 0.791 0.417
Tm: 0.791 0.542 0.917
Tm: 0.875 0.125 0.750

Computed properties:
As for the distance to the lowest polymorph of the same formula: 0.000 eV per atom.

=====

Entry 3:
Density functional theory data (PBE) for a geometry-optimized Dy12Ho3Tm5 structure.

Cell lengths 16.235, 16.235, 16.235 Å; angles 109.47, 109.47, 109.47 degrees
Sites, in units of the cell vectors:
Dy: 0.066 0.640 0.414
Dy: 0.066 0.926 0.652
Dy: 0.074 0.227 0.140
Dy: 0.074 0.348 0.934
Dy: 0.086 0.727 0.652
Dy: 0.086 0.860 0.434
Dy: 0.140 0.074 0.227
Dy: 0.140 0.566 0.914
Dy: 0.152 0.227 0.586
Dy: 0.152 0.426 0.566
Dy: 0.227 0.140 0.074
Dy: 0.227 0.586 0.152
Dy: 0.273 0.348 0.914
Dy: 0.273 0.426 0.360
Dy: 0.348 0.914 0.273
Dy: 0.348 0.934 0.074
Dy: 0.360 0.273 0.426
Dy: 0.360 0.586 0.934
Dy: 0.414 0.066 0.640
Dy: 0.414 0.848 0.773
Dy: 0.426 0.360 0.273
Dy: 0.426 0.566 0.152
Dy: 0.434 0.086 0.860
Dy: 0.434 0.848 0.574
Dy: 0.566 0.152 0.426
Dy: 0.566 0.914 0.140
Dy: 0.574 0.434 0.848
Dy: 0.574 0.640 0.727
Dy: 0.586 0.152 0.227
Dy: 0.586 0.934 0.360
Dy: 0.640 0.414 0.066
Dy: 0.640 0.727 0.574
Dy: 0.652 0.066 0.926
Dy: 0.652 0.086 0.727
Dy: 0.727 0.574 0.640
Dy: 0.727 0.652 0.086
Dy: 0.773 0.414 0.848
Dy: 0.773 0.860 0.926
Dy: 0.848 0.574 0.434
Dy: 0.848 0.773 0.414
Dy: 0.860 0.434 0.086
Dy: 0.860 0.926 0.773
Dy: 0.914 0.140 0.566
Dy: 0.914 0.273 0.348
Dy: 0.926 0.652 0.066
Dy: 0.926 0.773 0.860
Dy: 0.934 0.074 0.348
Dy: 0.934 0.360 0.586
Ho: 0.125 0.250 0.375
Ho: 0.125 0.375 0.750
Ho: 0.250 0.375 0.125
Ho: 0.250 0.875 0.625
Ho: 0.375 0.125 0.250
Ho: 0.375 0.750 0.125
Ho: 0.625 0.250 0.875
Ho: 0.625 0.875 0.750
Ho: 0.750 0.125 0.375
Ho: 0.750 0.625 0.875
Ho: 0.875 0.625 0.250
Ho: 0.875 0.750 0.625
Tm: 0.000 0.000 0.000
Tm: 0.000 0.000 0.500
Tm: 0.000 0.500 0.000
Tm: 0.000 0.500 0.500
Tm: 0.125 0.750 0.875
Tm: 0.125 0.875 0.250
Tm: 0.250 0.125 0.875
Tm: 0.250 0.625 0.375
Tm: 0.375 0.250 0.625
Tm: 0.375 0.625 0.750
Tm: 0.500 0.000 0.000
Tm: 0.500 0.000 0.500
Tm: 0.500 0.500 0.000
Tm: 0.500 0.500 0.500
Tm: 0.625 0.375 0.250
Tm: 0.625 0.750 0.375
Tm: 0.750 0.375 0.625
Tm: 0.750 0.875 0.125
Tm: 0.875 0.125 0.750
Tm: 0.875 0.250 0.125

Computed properties:
Its raw total energy is -3.509 eV per atom.

=====

Entry 4:
Density functional theory data (PBE) for a geometry-optimized Dy4Ho2Tm3 structure.

Cell lengths 9.806, 9.806, 6.090 Å; angles 94.64, 94.64, 71.70 degrees
Sites, in units of the cell vectors:
Dy: 0.096 0.810 0.987
Dy: 0.144 0.430 0.154
Dy: 0.190 0.904 0.513
Dy: 0.430 0.144 0.654
Dy: 0.570 0.856 0.346
Dy: 0.810 0.096 0.487
Dy: 0.856 0.570 0.846
Dy: 0.904 0.190 0.013
Ho: 0.238 0.522 0.680
Ho: 0.478 0.762 0.820
Ho: 0.522 0.238 0.180
Ho: 0.762 0.478 0.320
Tm: 0.070 0.264 0.582
Tm: 0.264 0.070 0.082
Tm: 0.403 0.597 0.250
Tm: 0.597 0.403 0.750
Tm: 0.736 0.930 0.918
Tm: 0.930 0.736 0.418

Computed properties:
Its raw total energy is -4.454 eV per atom.

=====

| no. | volume (Å³/f.u.) |
| --- | --- |
| 1 | 601.2 |
| 2 | 182.5 |
| 3 | 823.6 |
| 4 | 276.6 |